w.
The following is a PBE calculation of a relaxed Na7Cd2Pb2 crystal, from Alexandria.

The value obtained for the density is 3.9 g cm⁻³. The calculation puts the spin magnetization at 0.00 μB per formula unit.

Cell and atoms, written as CIF:
```
data_Na7Cd2Pb2
_chemical_formula_sum 'Na14 Cd4 Pb4'
_symmetry_space_group_name_H-M 'C 1 2/m 1'
_symmetry_Int_Tables_number 12
_symmetry_space_group_name_Hall '-C 2y'
_cell_length_a 9.3980
_cell_length_b 11.6820
_cell_length_c 6.6017
_cell_angle_alpha 90.00
_cell_angle_beta 110.95
_cell_angle_gamma 90.00
loop_
_atom_site_label
_atom_site_fract_x
_atom_site_fract_y
_atom_site_fract_z
_atom_site_occupancy
Na1 0.0000 0.0000 0.0000 1
Na2 0.1739 0.5000 0.4734 1
Na3 0.1863 0.2495 0.2060 1
Cd1 0.0000 0.1263 0.5000 1
Pb1 0.1515 0.5000 0.9546 1
```

=====

x.
The following is a PBE calculation of a relaxed Na7Cd2Pb2 crystal, from Alexandria.

The value obtained for the density is 4.0 g cm⁻³. The calculation puts the spin magnetization at 0.00 μB per formula unit.

Cell and atoms, written as CIF:
```
data_Na7Cd2Pb2
_chemical_formula_sum 'Na14 Cd4 Pb4'
_symmetry_space_group_name_H-M 'C 1 2/m 1'
_symmetry_Int_Tables_number 12
_symmetry_space_group_name_Hall '-C 2y'
_cell_length_a 8.6291
_cell_length_b 9.4801
_cell_length_c 8.6279
_cell_angle_alpha 90.00
_cell_angle_beta 109.60
_cell_angle_gamma 90.00
loop_
_atom_site_label
_atom_site_fract_x
_atom_site_fract_y
_atom_site_fract_z
_atom_site_occupancy
Na1 0.0000 0.0000 0.0000 1
Na2 0.1638 0.0000 0.4353 1
Na3 0.2069 0.3127 0.1802 1
Cd1 0.0000 0.3082 0.5000 1
Pb1 0.1108 0.5000 0.8160 1
```

=====

Stability, descending: x, w

=====

w.
The following is a PBE calculation of a relaxed Na3Cd4Pb crystal, from Alexandria.

The value obtained for the density is 5.9 g cm⁻³. The calculation puts the spin magnetization at 0.00 μB per formula unit.

Cell and atoms, written as CIF:
```
data_Na3Cd4Pb
_chemical_formula_sum 'Na6 Cd8 Pb2'
_symmetry_space_group_name_H-M 'C 1 2/m 1'
_symmetry_Int_Tables_number 12
_symmetry_space_group_name_Hall '-C 2y'
_cell_length_a 16.4665
_cell_length_b 5.0936
_cell_length_c 5.0757
_cell_angle_alpha 90.00
_cell_angle_beta 107.86
_cell_angle_gamma 90.00
loop_
_atom_site_label
_atom_site_fract_x
_atom_site_fract_y
_atom_site_fract_z
_atom_site_occupancy
Na1 0.0000 0.0000 0.0000 1
Na2 0.1309 0.0000 0.6306 1
Cd1 0.1367 0.5000 0.1356 1
Cd2 0.2486 0.0000 0.2483 1
Pb1 0.0000 0.5000 0.5000 1
```

=====

x.
The following is a PBE calculation of a relaxed Na3Cd4Pb crystal, from Alexandria.

The value obtained for the density is 5.6 g cm⁻³. The calculation puts the spin magnetization at 0.00 μB per formula unit.

Cell and atoms, written as CIF:
```
data_Na3Cd4Pb
_chemical_formula_sum 'Na6 Cd8 Pb2'
_symmetry_space_group_name_H-M 'I m m 2'
_symmetry_Int_Tables_number 44
_symmetry_space_group_name_Hall 'I 2 -2'
_cell_length_a 6.2957
_cell_length_b 10.8153
_cell_length_c 6.3455
_cell_angle_alpha 90.00
_cell_angle_beta 90.00
_cell_angle_gamma 90.00
loop_
_atom_site_label
_atom_site_fract_x
_atom_site_fract_y
_atom_site_fract_z
_atom_site_occupancy
Na1 0.0000 0.0000 0.0000 1
Na2 0.0000 0.2638 0.7706 1
Cd1 0.0000 0.2305 0.2836 1
Cd2 0.2448 0.0000 0.4871 1
Pb1 0.0000 0.5000 0.4388 1
```

=====

Stability, descending: w, x